No. 1
## TePtAu2 (PBE-GGA)

Data for a relaxed structure of TePtAu2.

```
4
Lattice="3.114 0.000 0.000 0.000 3.114 0.000 0.000 0.000 8.308" Properties=species:S:1:pos:R:3 pbc="T T T"
Te 0.000 0.000 0.000
Pt 0.000 0.000 4.154
Au 1.557 1.557 2.372
Au 1.557 1.557 5.936
```

Computed properties:
crystal system	tetragonal


No. 2
## TePtAu2 (PBE-GGA)

Data for a relaxed structure of TePtAu2.

```
8
Lattice="5.644 0.000 0.000 0.000 5.793 0.000 0.000 0.000 4.982" Properties=species:S:1:pos:R:3 pbc="T T T"
Te 0.000 0.000 0.000
Te 2.822 2.897 0.000
Pt 0.000 2.897 0.000
Pt 2.822 0.000 0.000
Au 0.000 1.492 2.491
Au 0.000 4.301 2.491
Au 2.822 1.405 2.491
Au 2.822 4.388 2.491
```

Computed properties:
crystal system	orthorhombic


| no. | raw total energy (eV/atom) |
| --- | --- |
| 1 | -3.69 |
| 2 | -3.87 |